P) A relaxed CuNiGeIr crystal. Source: OQMD via LeMat-Bulk, functional PBE.

Geometry as POSCAR:
```
CuNiGeIr
1.0
0.000 2.969 2.969
2.969 0.000 2.969
2.969 2.969 0.000
Ge Ni Cu Ir
1 1 1 1
direct
0.000 0.000 0.000
0.500 0.500 0.500
0.750 0.750 0.750
0.250 0.250 0.250
```

Results
As for the density: 12.284 g/cm3.

---

Q) A relaxed CuNiGeIr crystal. Source: OQMD via LeMat-Bulk, functional PBE.

Geometry as POSCAR:
```
CuNiGeIr
1.0
4.029 -1.175 0.183
2.351 1.069 3.313
1.209 -2.934 2.753
Cu Ir Ni Ge
1 1 1 1
direct
0.750 0.750 0.750
0.500 0.500 0.500
0.250 0.250 0.250
0.000 0.000 0.000
```

Results
As for the density: 12.261 g/cm3.

---

Pick P): it beats the second-best structure by 17.2 kJ/mol of atoms.

---

P) A relaxed ScCuGeIr crystal. Source: OQMD via LeMat-Bulk, functional PBE.

Geometry as POSCAR:
```
ScCuGeIr
1.0
-3.604 1.507 2.162
-2.699 2.968 -1.959
-4.079 -1.231 -1.333
Cu Ge Sc Ir
1 1 1 1
direct
0.750 0.750 0.750
0.000 0.000 0.000
0.250 0.250 0.250
0.500 0.500 0.500
```

Results
As for the density: 9.855 g/cm3.

---

Q) A relaxed ScCuGeIr crystal. Source: OQMD via LeMat-Bulk, functional PBE.

Geometry as POSCAR:
```
ScCuGeIr
1.0
0.000 3.133 3.133
3.133 0.000 3.133
3.133 3.133 0.000
Ge Sc Ir Cu
1 1 1 1
direct
0.000 0.000 0.000
0.500 0.500 0.500
0.250 0.250 0.250
0.750 0.750 0.750
```

Results
As for the density: 10.084 g/cm3.

---

Pick Q): it beats the second-best structure by 18.4 kJ/mol of atoms.

---

P) A relaxed CuSiGeIr crystal. Source: OQMD via LeMat-Bulk, functional PBE.

Geometry as POSCAR:
```
CuSiGeIr
1.0
0.000 3.062 3.062
3.062 0.000 3.062
3.062 3.062 0.000
Cu Ge Si Ir
1 1 1 1
direct
0.750 0.750 0.750
0.500 0.500 0.500
0.250 0.250 0.250
0.000 0.000 0.000
```

Results
As for the density: 10.310 g/cm3.

---

Q) A relaxed CuSiGeIr crystal. Source: OQMD via LeMat-Bulk, functional PBE.

Geometry as POSCAR:
```
CuSiGeIr
1.0
-4.263 0.010 0.543
-2.597 0.478 -3.391
-2.351 -3.318 -1.391
Ir Cu Si Ge
1 1 1 1
direct
0.250 0.250 0.250
0.750 0.750 0.750
0.500 0.500 0.500
0.000 0.000 0.000
```

Results
As for the density: 10.547 g/cm3.

---

Pick Q): it beats the second-best structure by 18.9 kJ/mol of atoms.

---

P) A relaxed TaCuGeIr crystal. Source: OQMD via LeMat-Bulk, functional PBE.

Geometry as POSCAR:
```
TaCuGeIr
1.0
-2.810 -3.259 1.001
-2.387 0.203 3.712
-4.357 0.698 -0.210
Ta Ir Cu Ge
1 1 1 1
direct
0.500 0.500 0.500
0.250 0.250 0.250
0.750 0.750 0.750
0.000 0.000 0.000
```

Results
As for the density: 13.871 g/cm3.

---

Q) A relaxed TaCuGeIr crystal. Source: OQMD via LeMat-Bulk, functional PBE.

Geometry as POSCAR:
```
TaCuGeIr
1.0
0.554 -4.381 -0.144
-2.346 -2.430 -2.848
1.990 -1.862 -3.477
Ir Ge Cu Ta
1 1 1 1
direct
0.500 0.500 0.500
0.000 0.000 0.000
0.750 0.750 0.750
0.250 0.250 0.250
```

Results
As for the density: 13.872 g/cm3.

---

Pick Q): it beats the second-best structure by 1.9 kJ/mol of atoms.